Record 1
The following is a PBE calculation of an optimized crystal structure of TaNbPt3, from Alexandria. Values from VASP.

Quantum ESPRESSO input file:
```
&SYSTEM
  ibrav = 0, nat = 10, ntyp = 3
/
ATOMIC_SPECIES
Pt 195.08 Pt.upf
Ta 180.95 Ta.upf
Nb 92.91 Nb.upf
CELL_PARAMETERS angstrom
-4.937 0.055 1.000
0.673 -3.873 3.534
0.709 6.592 3.136
ATOMIC_POSITIONS crystal
Pt 0.750 0.404 0.305
Ta 0.250 0.187 0.375
Pt 0.000 0.000 0.000
Ta 0.750 0.813 0.625
Pt 0.750 0.901 0.305
Nb 0.250 0.533 0.065
Pt 0.250 0.596 0.695
Nb 0.750 0.467 0.935
Pt 0.250 0.099 0.695
Pt 0.500 0.000 0.000
```

Properties
* excess energy over the best structure of this formula in the dataset: 175.2 meV/atom

Record 2
The following is a PBE calculation of an optimized crystal structure of Ac6CuNi2Br3, from Alexandria. Values from VASP.

Quantum ESPRESSO input file:
```
&SYSTEM
  ibrav = 0, nat = 12, ntyp = 4
/
ATOMIC_SPECIES
Ac 227.00 Ac.upf
Br 79.90 Br.upf
Cu 63.55 Cu.upf
Ni 58.69 Ni.upf
CELL_PARAMETERS angstrom
7.583 0.000 -0.001
-3.790 6.568 -0.001
-1.266 -2.192 8.152
ATOMIC_POSITIONS crystal
Ac 0.721 0.721 0.195
Ac 0.279 0.279 0.805
Ac 0.409 0.065 0.195
Br 0.500 0.500 0.500
Br 0.834 0.166 0.500
Ac 0.591 0.935 0.805
Cu 0.000 0.000 0.000
Ac 0.935 0.591 0.805
Ni 0.667 0.333 0.000
Ac 0.065 0.409 0.195
Ni 0.333 0.667 0.000
Br 0.166 0.834 0.500
```

Properties
* uncorrected formation energy: -0.785 eV per atom

Record 3
The following is a PBE calculation of an optimized crystal structure of TbPm2Nd3, from Alexandria. Values from VASP.

Quantum ESPRESSO input file:
```
&SYSTEM
  ibrav = 0, nat = 12, ntyp = 3
/
ATOMIC_SPECIES
Pm 145.00 Pm.upf
Tb 158.93 Tb.upf
Nd 144.24 Nd.upf
CELL_PARAMETERS angstrom
3.737 0.000 0.000
0.000 8.516 0.967
0.000 -1.466 12.941
ATOMIC_POSITIONS crystal
Pm 0.750 0.086 0.891
Tb 0.750 0.190 0.251
Nd 0.750 0.087 0.610
Nd 0.250 0.913 0.390
Pm 0.250 0.914 0.109
Pm 0.750 0.650 0.554
Nd 0.750 0.651 0.945
Tb 0.250 0.810 0.749
Nd 0.750 0.605 0.251
Pm 0.250 0.350 0.446
Nd 0.250 0.395 0.749
Nd 0.250 0.349 0.055
```

Properties
* excess energy over the best structure of this formula in the dataset: 0.0 meV/atom

Record 4
The following is a PBE calculation of an optimized crystal structure of Er4Cd2Pb, from Alexandria. Values from VASP.

Quantum ESPRESSO input file:
```
&SYSTEM
  ibrav = 0, nat = 7, ntyp = 3
/
ATOMIC_SPECIES
Pb 207.20 Pb.upf
Er 167.26 Er.upf
Cd 112.41 Cd.upf
CELL_PARAMETERS angstrom
4.964 0.000 1.551
2.240 4.430 1.551
-0.100 -0.062 9.042
ATOMIC_POSITIONS crystal
Pb 0.000 0.000 0.000
Er 0.870 0.870 0.389
Cd 0.249 0.249 0.253
Er 0.130 0.130 0.611
Cd 0.751 0.751 0.747
Er 0.617 0.617 0.149
Er 0.383 0.383 0.851
```

Properties
* final energy: -3.5536 eV/atom

no.,total magnetization (μB/atom)
1,0.000
2,0.000
3,0.000
4,0.000